Record 1
! PBE SiP2I8, relaxed; values from VASP
&SYSTEM
  ibrav = 0, nat = 11, ntyp = 3
/
ATOMIC_SPECIES
Si 28.09 Si.upf
P 30.97 P.upf
I 126.90 I.upf
ATOMIC_POSITIONS angstrom
Si 0.0000 0.0000 0.0000
P -2.4273 -0.6451 8.7871
P -5.9081 -10.0332 5.7019
I -5.2065 -3.4816 4.8316
I -7.0310 -5.4382 8.7086
I -1.1631 -1.6373 1.7487
I -7.1723 -9.0410 12.7403
I -1.3044 -5.2401 5.7804
I -3.1289 -7.1967 9.6574
I -3.5058 -2.8516 9.1329
I -4.8296 -7.8267 5.3561
CELL_PARAMETERS angstrom
-2.1791 1.0506 10.9092
-6.8105 -4.1824 0.8824
0.6542 -7.5465 2.6974
! Space group: C2/m, No. 12
! D(E_F): 1.90 states/eV/f.u.
! Formation energy from raw total energies: 2.1 kcal/mol of atoms
! Volume: 56.410 A^3/atom

=====

Record 2
! PBE Si2PI, relaxed; values from VASP
&SYSTEM
  ibrav = 0, nat = 4, ntyp = 3
/
ATOMIC_SPECIES
I 126.90 I.upf
P 30.97 P.upf
Si 28.09 Si.upf
ATOMIC_POSITIONS angstrom
I -5.3581 -1.6136 -1.9613
P 0.0000 0.0000 0.0000
Si -2.6791 -0.8068 -0.9806
Si -8.0372 -2.4203 -2.9419
CELL_PARAMETERS angstrom
-4.6207 -0.7118 1.2579
-3.5481 1.0503 -3.1221
-2.5475 -3.5656 -2.0583
! Space group: Fm-3m, No. 225
! D(E_F): 2.40 states/eV/f.u.
! ΔE to the lowest computed polymorph: 157 kJ/mol of formula units
! Formation energy from raw total energies: 21.4 kcal/mol of atoms
! Volume: 20.061 A^3/atom